Entry 1:
Computed, not measured: Ta2CrP6 after structural relaxation at the PBE-GGA level of DFT.

Cell lengths 7.133, 4.907, 9.375 Å; angles 90.00, 90.57, 90.00 degrees
Element x y z (fractional)
Ta 0.098 0.027 0.329
Ta 0.098 0.473 0.829
Ta 0.902 0.527 0.171
Ta 0.902 0.973 0.671
Cr 0.000 0.000 0.000
Cr 0.000 0.500 0.500
P 0.215 0.517 0.302
P 0.215 0.983 0.802
P 0.229 0.642 0.062
P 0.229 0.858 0.562
P 0.305 0.057 0.112
P 0.305 0.443 0.612
P 0.695 0.557 0.388
P 0.695 0.943 0.888
P 0.771 0.142 0.438
P 0.771 0.358 0.938
P 0.785 0.017 0.198
P 0.785 0.483 0.698

density of states at the Fermi level = 8.2 states/eV per cell
space-group type = P2_1/c (14)
ΔE_f = -0.139 eV/atom
energy relative to the lowest polymorph listed for this composition = 148.0 meV per atom

Entry 2:
Computed, not measured: ZrTaCrMo after structural relaxation at the PBE-GGA level of DFT.

Cell lengths 4.589, 4.589, 4.589 Å; angles 60.00, 60.00, 60.00 degrees
Element x y z (fractional)
Zr 0.000 0.000 0.000
Ta 0.500 0.500 0.500
Cr 0.250 0.250 0.250
Mo 0.750 0.750 0.750

density of states at the Fermi level = 5.2 states/eV per cell
space-group type = F-43m (216)
ΔE_f = 0.059 eV/atom

Entry 3:
Computed, not measured: Cs after structural relaxation at the PBE-GGA level of DFT.

Cell lengths 12.322, 12.322, 12.322 Å; angles 109.47, 109.47, 109.47 degrees
Element x y z (fractional)
Cs 0.250 0.500 0.750
Cs 0.250 0.750 0.500
Cs 0.500 0.250 0.750
Cs 0.500 0.750 0.250
Cs 0.750 0.250 0.500
Cs 0.750 0.500 0.250

density of states at the Fermi level = 8.0 states/eV per cell
space-group type = Im-3m (229)
ΔE_f = 0.275 eV/atom
energy relative to the lowest polymorph listed for this composition = 275.4 meV per atom

Entry 4:
Computed, not measured: KLiNiPb2 after structural relaxation at the PBE-GGA level of DFT.

Cell lengths 5.137, 5.137, 5.262 Å; angles 90.00, 90.00, 90.00 degrees
Element x y z (fractional)
K 0.000 0.000 0.000
Li 0.500 0.500 0.000
Ni 0.500 0.500 0.500
Pb 0.000 0.500 0.500
Pb 0.500 0.000 0.500

density of states at the Fermi level = 4.0 states/eV per cell
space-group type = P4/mmm (123)
ΔE_f = -0.005 eV/atom

Entry 5:
Computed, not measured: KSrNi2Pb after structural relaxation at the PBE-GGA level of DFT.

Cell lengths 5.120, 5.120, 5.768 Å; angles 90.00, 90.00, 90.00 degrees
Element x y z (fractional)
K 0.000 0.000 0.000
Sr 0.000 0.000 0.500
Ni 0.000 0.500 0.500
Ni 0.500 0.000 0.500
Pb 0.500 0.500 0.000

density of states at the Fermi level = 4.4 states/eV per cell
space-group type = P4/mmm (123)
ΔE_f = 1.137 eV/atom

Entry 6:
Computed, not measured: Mg2SiHg after structural relaxation at the PBE-GGA level of DFT.

Cell lengths 7.374, 7.374, 7.374 Å; angles 30.26, 30.26, 30.26 degrees
Element x y z (fractional)
Mg 0.000 0.000 0.000
Mg 0.185 0.185 0.185
Si 0.594 0.594 0.594
Hg 0.758 0.758 0.758

density of states at the Fermi level = 0.4 states/eV per cell
raw formation energy = 81.2 meV/atom
space-group type = R3m (160)

Entry 7:
Computed, not measured: Mg4B after structural relaxation at the PBE-GGA level of DFT.

Cell lengths 4.644, 4.644, 4.644 Å; angles 90.00, 90.00, 90.00 degrees
Element x y z (fractional)
Mg 0.000 0.000 0.000
Mg 0.000 0.500 0.500
Mg 0.500 0.000 0.500
Mg 0.500 0.500 0.000
B 0.500 0.500 0.500

density of states at the Fermi level = 2.1 states/eV per cell
space-group type = Pm-3m (221)
ΔE_f = 0.237 eV/atom

Entry 8:
Computed, not measured: CuIrPb3 after structural relaxation at the PBE-GGA level of DFT.

Cell lengths 5.319, 5.319, 5.319 Å; angles 90.00, 90.00, 90.00 degrees
Element x y z (fractional)
Cu 0.000 0.000 0.000
Ir 0.500 0.500 0.500
Pb 0.000 0.500 0.500
Pb 0.500 0.000 0.500
Pb 0.500 0.500 0.000

density of states at the Fermi level = 8.7 states/eV per cell
space-group type = Pm-3m (221)
ΔE_f = 0.601 eV/atom
energy relative to the lowest polymorph listed for this composition = 0.0 meV per atom

Which value of density of states at the Fermi level does entry 5 give? 4.4 states/eV per cell

The lowest density of states at the Fermi level belongs to which entry? Mg2SiHg